{
  "formula": "CeThAlGa",
  "functional": "PBE-GGA",
  "state": "relaxed",
  "relative_energy_mev_per_atom": 0,
  "crystal_system": "monoclinic",
  "total_magnetization_mub_per_fu": 0.297,
  "delta_e_f_ev_per_atom": -0.374,
  "cell": [[5.448, 0.000, 0.000], [0.000, 3.342, 0.000], [-1.230, 0.000, 5.316]],
  "species": ["Ce", "Th", "Al", "Ga"],
  "frac_coords": [[0.000, 0.000, 0.000], [0.447, 0.000, 0.553], [0.521, 0.500, 0.071], [0.928, 0.500, 0.477]]
}

=====

{
  "formula": "CeThAlGa",
  "functional": "PBE-GGA",
  "state": "relaxed",
  "relative_energy_mev_per_atom": 70,
  "crystal_system": "cubic",
  "total_magnetization_mub_per_fu": 1.064,
  "delta_e_f_ev_per_atom": -0.304,
  "cell": [[0.000, 3.688, 3.688], [3.688, 0.000, 3.688], [3.688, 3.688, 0.000]],
  "species": ["Ce", "Th", "Al", "Ga"],
  "frac_coords": [[0.000, 0.000, 0.000], [0.500, 0.500, 0.500], [0.750, 0.750, 0.750], [0.250, 0.250, 0.250]]
}